1.
5
Lattice="3.685 0.000 0.000 0.000 3.685 0.000 0.000 0.000 4.967" Properties=species:S:1:pos:R:3 comment="ZnRhNF2 PBE optimized geometry" space_group="P4/mmm, No. 123" pbc="T T T"
Zn 0.000 0.000 0.000
Rh 1.843 1.843 2.483
N 0.000 0.000 2.483
F 0.000 1.843 0.000
F 1.843 0.000 0.000


2.
5
Lattice="4.297 0.000 0.000 0.000 4.297 0.000 0.000 0.000 3.727" Properties=species:S:1:pos:R:3 comment="ZnRhNF2 PBE optimized geometry" space_group="P4/mmm, No. 123" pbc="T T T"
Zn 0.000 0.000 0.000
Rh 2.148 2.148 1.863
N 2.148 2.148 0.000
F 0.000 2.148 1.863
F 2.148 0.000 1.863


3.
5
Lattice="4.263 0.000 0.000 0.000 4.263 0.000 0.000 0.000 4.044" Properties=species:S:1:pos:R:3 comment="ZrRhN2F PBE optimized geometry" space_group="P4/mmm, No. 123" pbc="T T T"
Zr 0.000 0.000 0.000
Rh 2.131 2.131 2.022
N 0.000 2.131 0.000
N 2.131 0.000 0.000
F 0.000 0.000 2.022


4.
5
Lattice="3.968 0.000 0.000 0.000 3.968 0.000 0.000 0.000 3.883" Properties=species:S:1:pos:R:3 comment="ZrRhN2F PBE optimized geometry" space_group="P4/mmm, No. 123" pbc="T T T"
Zr 0.000 0.000 0.000
Rh 1.984 1.984 1.942
N 0.000 1.984 1.942
N 1.984 0.000 1.942
F 1.984 1.984 0.000


5.
5
Lattice="4.181 0.000 0.000 0.000 4.181 0.000 0.000 0.000 4.278" Properties=species:S:1:pos:R:3 comment="ZrRhNF2 PBE optimized geometry" space_group="P4/mmm, No. 123" pbc="T T T"
Zr 0.000 0.000 0.000
Rh 2.090 2.090 2.139
N 0.000 0.000 2.139
F 0.000 2.090 0.000
F 2.090 0.000 0.000


6.
5
Lattice="4.233 0.000 0.000 0.000 4.233 0.000 0.000 0.000 3.846" Properties=species:S:1:pos:R:3 comment="ZrRhNF2 PBE optimized geometry" space_group="P4/mmm, No. 123" pbc="T T T"
Zr 0.000 0.000 0.000
Rh 2.116 2.116 1.923
N 2.116 2.116 0.000
F 0.000 2.116 1.923
F 2.116 0.000 1.923


7.
20
Lattice="5.255 0.000 0.000 0.000 5.464 0.000 -0.933 0.000 10.840" Properties=species:S:1:pos:R:3 comment="RuNF3 PBE optimized geometry" space_group="P2/c, No. 13" pbc="T T T"
Ru 0.266 0.500 1.464
Ru -0.200 4.964 6.884
Ru 4.522 0.500 3.956
Ru 4.055 4.964 9.376
N 0.312 2.099 2.959
N -0.154 3.365 8.379
N 4.476 2.099 2.461
N 4.009 3.365 7.882
F 0.123 1.113 5.709
F 0.590 4.350 0.289
F 0.496 0.404 8.541
F 0.962 5.059 3.121
F 1.852 1.248 0.768
F 1.385 4.215 6.188
F 2.937 1.248 4.652
F 2.470 4.215 10.072
F 3.359 0.404 7.719
F 3.826 5.059 2.299
F 3.732 1.113 10.551
F 4.199 4.350 5.131


8.
4
Lattice="1.325 0.765 7.280 -1.325 0.765 7.280 0.000 -1.530 7.280" Properties=species:S:1:pos:R:3 comment="RuNF2 PBE optimized geometry" space_group="R-3m, No. 166" pbc="T T T"
Ru 0.000 0.000 0.000
N 0.000 0.000 10.920
F 0.000 0.000 9.114
F 0.000 0.000 12.727


Calculated relative energy among the computed polymorphs (eV/atom), listed in the same order as above: 0.316 0.000 0.000 0.052 0.000 0.713 0.000 1.457
Calculated E (eV per atom), listed in the same order as above: -4.11 -4.43 -6.88 -6.83 -6.69 -5.97 -5.67 -4.42
Calculated formation energy without anion corrections (eV per atom), listed in the same order as above: 0.0274 -0.2891 0.0004 0.0523 -1.0923 -0.3796 -1.0247 0.9174